(1)
PBE CdGa7Pb2, optimized geometry; total magnetization = 0.00 μB per cell; SG = P-4m2, No. 115; crystal system = tetragonal; final energy = -0.2140 Ry/atom
1.0
-0.4827 -1.6455 4.0609
3.2991 -2.8250 -0.7525
7.5027 7.6937 4.0095
Pb Ga Cd
2 7 1
Direct
0.0000 0.5000 0.2512 Pb
0.5000 0.0000 0.7488 Pb
0.0000 0.5000 0.8530 Ga
0.0000 0.5000 0.6342 Ga
0.0000 0.0000 0.5000 Ga
0.0000 0.0000 0.0000 Ga
0.5000 0.0000 0.3658 Ga
0.5000 0.0000 0.1470 Ga
0.5000 0.5000 0.5000 Ga
0.5000 0.5000 0.0000 Cd

---

(2)
PBE ScZn2Os, optimized geometry; total magnetization = 0.00 μB per cell; E above lowest polymorph = 175 meV/atom; SG = P2/m, No. 10; crystal system = monoclinic; final energy = -0.3765 Ry/atom
1.0
4.2541 0.0000 0.0000
0.0000 2.7509 0.0445
0.0000 1.7711 5.3749
Zn Sc Os
2 1 1
Direct
0.0000 0.4796 0.4802 Zn
0.0000 0.0204 0.0198 Zn
0.5000 0.7500 0.7500 Sc
0.5000 0.2500 0.2500 Os

---

(3)
PBE NaThSnPb, optimized geometry; total magnetization = 0.00 μB per cell; SG = F-43m, No. 216; crystal system = cubic; final energy = -0.3142 Ry/atom
1.0
-4.9980 -1.5779 -1.5148
-1.2272 -5.3103 -0.2439
-3.3987 -2.1854 3.6657
Th Na Pb Sn
1 1 1 1
Direct
0.0000 0.0000 0.0000 Th
0.5000 0.5000 0.5000 Na
0.7500 0.7500 0.7500 Pb
0.2500 0.2500 0.2500 Sn

---

(4)
PBE HgIr4Se, optimized geometry; total magnetization = 0.00 μB per cell; SG = F-43m, No. 216; crystal system = cubic; final energy = -0.4220 Ry/atom; raw formation energy = 0.797 eV/atom
1.0
5.0748 -1.1917 -0.8629
2.2419 -4.0319 2.5760
1.2704 -4.4190 -2.6032
Ir Hg Se
4 1 1
Direct
0.3752 0.3752 0.3752 Ir
0.8745 0.3752 0.3752 Ir
0.3752 0.3752 0.8745 Ir
0.3752 0.8745 0.3752 Ir
0.0000 0.0000 0.0000 Hg
0.7500 0.7500 0.7500 Se

---

(5)
PBE PrSmGeI, optimized geometry; total magnetization = 0.00 μB per cell; SG = R3m, No. 160; crystal system = trigonal; final energy = -0.3620 Ry/atom; raw formation energy = -1.008 eV/atom
1.0
4.3048 -0.0005 -0.0001
-2.1519 3.7288 0.0000
-2.1516 -1.2424 7.8311
Pr I Ge Sm
1 1 1 1
Direct
0.5035 0.1497 0.6685 Pr
0.9630 0.3796 0.3578 I
0.3092 0.5525 0.8770 Ge
0.1021 0.9490 0.0664 Sm

---

(6)
PBE Ca2GeAsAu6, optimized geometry; total magnetization = 0.00 μB per cell; SG = Pmmn, No. 59; crystal system = orthorhombic; final energy = -0.2724 Ry/atom
1.0
-4.1207 2.3940 -3.0987
-6.1669 -1.1227 7.3334
2.1528 7.5438 2.9653
Ge Au Ca As
2 12 4 2
Direct
0.0000 0.7324 0.0000 Ge
0.5000 0.2676 0.5000 Ge
0.2456 0.0248 0.5000 Au
0.5000 0.1261 0.2344 Au
0.2505 0.4840 0.5000 Au
0.2544 0.9752 0.0000 Au
0.7456 0.9752 0.0000 Au
0.0000 0.8739 0.7344 Au
0.0000 0.8739 0.2656 Au
0.7505 0.5160 0.0000 Au
0.7495 0.4840 0.5000 Au
0.7544 0.0248 0.5000 Au
0.5000 0.1261 0.7656 Au
0.2495 0.5160 0.0000 Au
0.0000 0.2629 0.7498 Ca
0.5000 0.7371 0.2498 Ca
0.5000 0.7371 0.7502 Ca
0.0000 0.2629 0.2502 Ca
0.5000 0.2980 0.0000 As
0.0000 0.7020 0.5000 As

---

(7)
PBE K2ScTa, optimized geometry; total magnetization = 0.89 μB per cell; E above lowest polymorph = 556 meV/atom; SG = P4/mmm, No. 123; crystal system = tetragonal; final energy = -0.2855 Ry/atom
1.0
-2.7023 0.9180 0.9466
-1.3163 -2.0072 -1.8111
0.3495 -9.0347 9.7587
Sc Ta K
1 1 2
Direct
0.5000 0.5000 0.2500 Sc
0.5000 0.5000 0.7500 Ta
0.0000 0.0000 0.9841 K
0.0000 0.0000 0.5159 K

---

(8)
PBE CrCd3Pd, optimized geometry; total magnetization = 5.01 μB per cell; E above lowest polymorph = 0 meV/atom; SG = Pm-3m, No. 221; crystal system = cubic; final energy = -0.2220 Ry/atom
1.0
-1.2594 -4.4622 -2.2098
3.3871 0.9031 -3.7540
3.6499 -2.3777 2.7212
Pd Cd Cr
1 3 1
Direct
0.0000 0.0000 0.0000 Pd
0.0000 0.5000 0.0000 Cd
0.0000 0.0000 0.5000 Cd
0.5000 0.0000 0.0000 Cd
0.5000 0.5000 0.5000 Cr